Record 1
A plane-wave DFT calculation with GGA-PBE was carried out for RbNa2AsS4 after structural relaxation.

Geometry as POSCAR:
```
RbNa2AsS4
1.0
-3.603 3.603 4.302
3.603 -3.603 4.302
3.603 3.603 -4.302
Rb Na As S
1 2 1 4
Cartesian
0.000 0.000 0.000
3.603 0.000 2.151
0.000 3.603 2.151
0.000 0.000 4.302
1.283 -1.283 3.064
2.320 2.320 1.239
-1.283 1.283 3.064
1.283 1.283 5.541
```

Space group: I-42m (121)
Formation energy without anion corrections (eV/atom): -0.8069
Final energy (eV/cell): -31.2


Record 2
A plane-wave DFT calculation with GGA-PBE was carried out for Rb2HfSb after structural relaxation.

Geometry as POSCAR:
```
Rb2HfSb
1.0
-6.751 6.751 2.771
6.751 -6.751 2.771
6.751 6.751 -2.771
Rb Hf Sb
4 2 2
Cartesian
-1.213 3.375 0.693
3.375 5.537 2.078
1.213 10.126 0.693
-3.375 7.964 2.078
6.751 0.000 1.386
0.000 0.000 2.771
0.000 0.000 0.000
0.000 6.751 1.386
```

Space group: I-42d (122)
Formation energy without anion corrections (eV/atom): 0.4491
Final energy (eV/cell): -28.4


Record 3
A plane-wave DFT calculation with GGA-PBE was carried out for Li2Ta after structural relaxation.

Geometry as POSCAR:
```
Li2Ta
1.0
2.566 -7.340 0.000
2.566 7.340 0.000
0.000 0.000 2.784
Li Ta
4 2
Cartesian
2.566 6.295 2.088
2.566 3.949 0.696
2.566 -3.949 2.088
2.566 -6.295 0.696
2.566 1.146 2.088
2.566 -1.146 0.696
```

Space group: Cmcm (63)
Final energy (eV/cell): -28.9
DFT formation energy (eV per atom): 0.403


Record 4
A plane-wave DFT calculation with GGA-PBE was carried out for Hf2Zr7In2 after structural relaxation.

Geometry as POSCAR:
```
Hf2Zr7In2
1.0
5.523 -4.972 0.000
5.523 4.972 0.000
-2.471 0.000 4.652
Hf Zr In
2 7 2
Cartesian
5.523 2.824 0.000
5.523 -2.824 0.000
-1.235 0.000 2.326
0.482 1.977 3.252
0.482 -1.977 3.252
3.631 0.000 3.472
4.945 0.000 1.180
8.094 1.977 1.400
8.094 -1.977 1.400
1.849 0.000 0.972
6.727 0.000 3.680
```

Space group: C2/m (12)
Final energy (eV/cell): -84.4
DFT formation energy (eV per atom): 0.074


Record 5
A plane-wave DFT calculation with GGA-PBE was carried out for AgBiH6Rh2 after structural relaxation.

Geometry as POSCAR:
```
AgBiH6Rh2
1.0
4.297 -6.074 0.000
4.297 6.074 0.000
-3.240 0.000 4.547
Ag Bi H Rh
2 2 12 4
Cartesian
1.868 5.060 3.410
3.487 -5.060 1.137
1.868 1.941 3.410
3.487 -1.941 1.137
0.936 1.573 0.463
2.433 2.041 0.602
-0.939 0.469 3.895
0.681 -0.469 1.621
-0.684 -1.573 2.736
4.541 2.041 1.671
0.813 -2.041 2.876
6.039 1.573 1.811
4.674 0.469 2.926
6.294 -0.469 0.652
2.922 -2.041 3.944
4.419 -1.573 4.084
2.074 0.565 1.062
0.455 -0.565 3.335
4.900 0.565 1.212
3.281 -0.565 3.485
```

Space group: C2/c (15)
Final energy (eV/cell): -81.8


Record 6
A plane-wave DFT calculation with GGA-PBE was carried out for Pm2Cu9Au after structural relaxation.

Geometry as POSCAR:
```
Pm2Cu9Au
1.0
2.573 1.485 8.220
-2.573 1.485 8.220
0.000 -2.971 8.220
Pm Cu Au
2 9 1
Cartesian
0.000 0.000 3.272
0.000 0.000 21.389
-1.292 -0.746 10.196
0.000 0.000 8.210
0.000 -1.492 14.465
-1.292 0.746 14.465
0.000 0.000 12.330
1.292 -0.746 10.196
0.000 1.492 10.196
0.000 0.000 16.450
1.292 0.746 14.465
0.000 0.000 0.000
```

Space group: R-3m (166)
Final energy (eV/cell): -50.4
DFT formation energy (eV per atom): -0.066


Record 7
A plane-wave DFT calculation with GGA-PBE was carried out for AcLaSiCl after structural relaxation.

Geometry as POSCAR:
```
AcLaSiCl
1.0
0.000 3.771 3.771
3.771 0.000 3.771
3.771 3.771 0.000
Ac La Si Cl
1 1 1 1
Cartesian
0.000 0.000 0.000
3.771 3.771 3.771
1.885 1.885 1.885
5.656 5.656 5.656
```

Space group: F-43m (216)
Formation energy without anion corrections (eV/atom): -1.0346
Final energy (eV/cell): -20.4


Record 8
A plane-wave DFT calculation with GGA-PBE was carried out for ScRePb2O6 after structural relaxation.

Geometry as POSCAR:
```
ScRePb2O6
1.0
0.000 4.071 4.071
4.071 0.000 4.071
4.071 4.071 0.000
Sc Re Pb O
1 1 2 6
Cartesian
0.000 0.000 0.000
4.071 4.071 4.071
2.036 2.036 2.036
6.107 6.107 6.107
4.071 4.071 2.101
4.071 2.101 4.071
6.041 4.071 4.071
2.101 4.071 4.071
4.071 6.041 4.071
4.071 4.071 6.041
```

Space group: Fm-3m (225)
Formation energy without anion corrections (eV/atom): -1.8191
Final energy (eV/cell): -74.1